A relaxed structure of SrCaAs3. Source: the Alexandria database, functional GGA-PBE.

Structure (CIF):
```
data_SrCaAs3
_cell_length_a 5.3534
_cell_length_b 5.3534
_cell_length_c 5.3534
_cell_angle_alpha 90.00
_cell_angle_beta 90.00
_cell_angle_gamma 90.00
_symmetry_space_group_name_H-M 'P m -3 m'
_symmetry_Int_Tables_number 221
_symmetry_space_group_name_Hall '-P 4 2 3'
loop_
_atom_site_label
_atom_site_fract_x
_atom_site_fract_y
_atom_site_fract_z
_atom_site_occupancy
Sr1 0.0000 0.0000 0.0000 1
Ca1 0.5000 0.5000 0.5000 1
As1 0.0000 0.5000 0.5000 1
```

Properties
Energy above the lowest structure with this stoichiometry in eV/f.u.: 0.00
DFT total energy in eV/atom: -3.63
Formation energy in eV/atom: -0.108

A relaxed structure of Sm2Ho2Sc3. Source: the Alexandria database, functional GGA-PBE.

Structure (CIF):
```
data_Sm2Ho2Sc3
_cell_length_a 6.1531
_cell_length_b 5.7358
_cell_length_c 11.6552
_cell_angle_alpha 90.00
_cell_angle_beta 99.62
_cell_angle_gamma 90.00
_symmetry_space_group_name_H-M 'P 1 21/c 1'
_symmetry_Int_Tables_number 14
_symmetry_space_group_name_Hall '-P 2ybc'
loop_
_atom_site_label
_atom_site_fract_x
_atom_site_fract_y
_atom_site_fract_z
_atom_site_occupancy
Sm1 0.0574 0.0743 0.1489 1
Ho1 0.3798 0.6066 0.2102 1
Sc1 0.2233 0.0370 0.4415 1
Sc2 0.5000 0.0000 0.0000 1
```

Properties
Energy above the lowest structure with this stoichiometry in eV/f.u.: 0.00
DFT total energy in eV/atom: -5.27
Formation energy in eV/atom: 0.104

A relaxed structure of Pm2ErRh. Source: the Alexandria database, functional GGA-PBE.

Structure (CIF):
```
data_Pm2ErRh
_cell_length_a 3.5876
_cell_length_b 3.5876
_cell_length_c 8.6592
_cell_angle_alpha 90.00
_cell_angle_beta 90.00
_cell_angle_gamma 90.00
_symmetry_space_group_name_H-M 'P 4/m m m'
_symmetry_Int_Tables_number 123
_symmetry_space_group_name_Hall '-P 4 2'
loop_
_atom_site_label
_atom_site_fract_x
_atom_site_fract_y
_atom_site_fract_z
_atom_site_occupancy
Pm1 0.0000 0.0000 0.1924 1
Er1 0.5000 0.5000 0.5000 1
Rh1 0.5000 0.5000 0.0000 1
```

Properties
Energy above the lowest structure with this stoichiometry in eV/f.u.: 0.76
DFT total energy in eV/atom: -5.63
Formation energy in eV/atom: -0.281

A relaxed structure of Ba2S2O3F2. Source: the Alexandria database, functional GGA-PBE.

Structure (CIF):
```
data_Ba2S2O3F2
_cell_length_a 4.5326
_cell_length_b 4.5980
_cell_length_c 9.0064
_cell_angle_alpha 99.72
_cell_angle_beta 103.75
_cell_angle_gamma 90.94
_symmetry_space_group_name_H-M 'P 1'
_symmetry_Int_Tables_number 1
_symmetry_space_group_name_Hall 'P 1'
loop_
_atom_site_label
_atom_site_fract_x
_atom_site_fract_y
_atom_site_fract_z
_atom_site_occupancy
Ba1 0.0000 0.0000 0.0000 1
Ba2 0.3362 0.3852 0.6483 1
S1 0.5743 0.5841 0.1585 1
S2 0.6906 0.7855 0.4175 1
O1 0.3875 0.8646 0.4529 1
O2 0.5724 0.2327 0.1484 1
O3 0.7823 0.5068 0.4832 1
F1 0.4036 0.9352 0.8077 1
F2 0.9188 0.4382 0.8299 1
```

Properties
E_form (uncorrected) in eV per atom: -2.33
DFT total energy in eV/atom: -5.74

A relaxed structure of Pr2GaH. Source: the Alexandria database, functional GGA-PBE.

Structure (CIF):
```
data_Pr2GaH
_cell_length_a 5.4254
_cell_length_b 5.4347
_cell_length_c 12.4886
_cell_angle_alpha 90.00
_cell_angle_beta 90.00
_cell_angle_gamma 90.00
_symmetry_space_group_name_H-M 'F 2 2 2'
_symmetry_Int_Tables_number 22
_symmetry_space_group_name_Hall 'F 2 2'
loop_
_atom_site_label
_atom_site_fract_x
_atom_site_fract_y
_atom_site_fract_z
_atom_site_occupancy
Pr1 0.0000 0.0000 0.1423 1
Ga1 0.0000 0.0000 0.5000 1
H1 0.2500 0.2500 0.7500 1
```

Properties
Energy above the lowest structure with this stoichiometry in eV/f.u.: 0.00
DFT total energy in eV/atom: -4.47

A relaxed structure of CdHgP2. Source: the Alexandria database, functional GGA-PBE.

Structure (CIF):
```
data_CdHgP2
_cell_length_a 3.2389
_cell_length_b 3.2389
_cell_length_c 30.8882
_cell_angle_alpha 90.00
_cell_angle_beta 90.00
_cell_angle_gamma 120.00
_symmetry_space_group_name_H-M 'R 3 m'
_symmetry_Int_Tables_number 160
_symmetry_space_group_name_Hall 'R 3 -2"'
loop_
_atom_site_label
_atom_site_fract_x
_atom_site_fract_y
_atom_site_fract_z
_atom_site_occupancy
Cd1 0.0000 0.0000 0.0000 1
Hg1 0.0000 0.0000 0.7664 1
P1 0.0000 0.0000 0.2351 1
P2 0.0000 0.0000 0.5283 1
```

Properties
Energy above the lowest structure with this stoichiometry in eV/f.u.: 0.05
DFT total energy in eV/atom: -2.95
Formation energy in eV/atom: 0.063

A relaxed structure of Zn6CoPd. Source: the Alexandria database, functional GGA-PBE.

Structure (CIF):
```
data_Zn6CoPd
_cell_length_a 5.5941
_cell_length_b 7.4350
_cell_length_c 10.7319
_cell_angle_alpha 90.00
_cell_angle_beta 90.00
_cell_angle_gamma 90.00
_symmetry_space_group_name_H-M 'F m m m'
_symmetry_Int_Tables_number 69
_symmetry_space_group_name_Hall '-F 2 2'
loop_
_atom_site_label
_atom_site_fract_x
_atom_site_fract_y
_atom_site_fract_z
_atom_site_occupancy
Zn1 0.0000 0.0000 0.2415 1
Zn2 0.2500 0.2500 0.1192 1
Co1 0.0000 0.0000 0.0000 1
Pd1 0.0000 0.0000 0.5000 1
```

Properties
Energy above the lowest structure with this stoichiometry in eV/f.u.: 0.43
DFT total energy in eV/atom: -2.62
Formation energy in eV/atom: -0.126

A relaxed structure of Ac3IrRhAu. Source: the Alexandria database, functional GGA-PBE.

Structure (CIF):
```
data_Ac3IrRhAu
_cell_length_a 8.6882
_cell_length_b 4.3514
_cell_length_c 10.1708
_cell_angle_alpha 90.00
_cell_angle_beta 111.45
_cell_angle_gamma 90.00
_symmetry_space_group_name_H-M 'P 1 21/m 1'
_symmetry_Int_Tables_number 11
_symmetry_space_group_name_Hall '-P 2yb'
loop_
_atom_site_label
_atom_site_fract_x
_atom_site_fract_y
_atom_site_fract_z
_atom_site_occupancy
Ac1 0.0349 0.2500 0.3519 1
Ac2 0.2352 0.2500 0.9918 1
Ac3 0.4190 0.7500 0.6354 1
Ir1 0.2143 0.2500 0.6810 1
Rh1 0.3970 0.7500 0.9060 1
Au1 0.2619 0.7500 0.2616 1
```

Properties
DFT total energy in eV/atom: -5.91
Formation energy in eV/atom: -0.611